1.
{
  "formula": "NaSrSb2Se4",
  "functional": "GGA-PBE",
  "state": "optimized geometry",
  "n_ef_per_ev_atom": 0.224,
  "sg": "Fmm2",
  "crystal_system": "orthorhombic",
  "total_energy_ev_per_cell": -31.74,
  "lattice": [[6.1327, 0.2241, 0.0000], [-0.4434, 6.1208, 0.0000], [-2.8447, -3.1724, 5.9532]],
  "species": ["Se", "Sb", "Sr", "Sb", "Se", "Se", "Se", "Na"],
  "fractional_positions": [[0.2218, 0.2218, 0.5125], [0.1650, 0.6650, 0.5000], [0.9341, 0.9341, 0.0000], [0.6650, 0.1650, 0.5000], [0.7093, 0.7093, 0.4875], [0.9364, 0.4329, 0.0000], [0.4329, 0.9364, 0.0000], [0.4327, 0.4327, 0.0000]]
}



2.
{
  "formula": "NaSrSbSe3",
  "functional": "GGA-PBE",
  "state": "optimized geometry",
  "sg": "P2_1/m",
  "crystal_system": "monoclinic",
  "total_energy_ev_per_cell": -47.00,
  "lattice": [[4.3014, 0.0000, 0.0000], [0.0000, 7.9581, -0.7492], [0.0000, -2.7536, 10.2802]],
  "species": ["Se", "Sr", "Sb", "Se", "Se", "Na", "Sr", "Sb", "Se", "Se", "Na", "Se"],
  "fractional_positions": [[0.2500, 0.0540, 0.8811], [0.7500, 0.6837, 0.6829], [0.2500, 0.7210, 0.1147], [0.7500, 0.9460, 0.1189], [0.7500, 0.2744, 0.5139], [0.7500, 0.8754, 0.3815], [0.2500, 0.3163, 0.3171], [0.7500, 0.2790, 0.8853], [0.2500, 0.5489, 0.8555], [0.2500, 0.7256, 0.4861], [0.2500, 0.1246, 0.6185], [0.7500, 0.4511, 0.1445]]
}